An optimized crystal structure of TbGe2HRu2. Source: Alexandria, functional PBE.

The space group is P4/mmm (No. 123) and the conventional cell measures 4.130, 4.130 and 5.270 Å, with angles of 90.00, 90.00 and 90.00 degrees. The asymmetric unit holds Tb at (0.000, 0.000, 0.000), Ge at (0.500, 0.500, 0.233), H at (0.000, 0.000, 0.500) and Ru at (0.000, 0.500, 0.500).

As for the calculated total energy: -6.4835 eV/atom. As for the density of states at the Fermi level: 0.66 states/eV per atom.